Entry from the Alexandria database: crystalline Rb3ZnGe at its relaxed geometry (PBE).

Output
The formation energy comes out at 0.1059 eV per atom. As for the total energy: -1.65 eV per atom. The energy relative to the lowest polymorph listed for this composition is 0 meV/atom. Its space group is C2/m.

abc: 9.173 9.173 8.119
angles: 110.23 119.06 105.30
Fractional positions:
Rb1 0.792 0.021 0.206
Rb2 0.185 0.413 0.206
Rb3 0.815 0.587 0.794
Rb4 0.718 0.465 0.183
Rb5 0.208 0.979 0.794
Rb6 0.282 0.535 0.817
Zn1 0.655 0.845 0.500
Zn2 0.345 0.155 0.500
Ge1 0.627 0.097 0.724
Ge2 0.373 0.903 0.276